{"formula": "ZrAlF2", "functional": "PBE", "state": "optimized geometry", "lattice_angstrom": [[-2.197, 4.969, 1.229], [-1.064, 3.294, 4.364], [1.423, 4.946, 2.129]], "species": ["F", "F", "Al", "Zr"], "frac_coords": [[0.858, 0.858, 0.858], [0.142, 0.142, 0.142], [0.500, 0.500, 0.500], [0.000, 0.000, 0.000]], "e_form_raw_ev_per_atom": -1.4701, "polymorph_energy_mev_per_atom": 369}

{"formula": "Bi4Pb10Au", "functional": "PBE", "state": "optimized geometry", "lattice_angstrom": [[-1.412, -3.498, 7.759], [6.714, -0.192, 5.932], [-2.939, 5.260, 6.633]], "species": ["Pb", "Pb", "Pb", "Pb", "Pb", "Pb", "Pb", "Pb", "Pb", "Pb", "Bi", "Bi", "Bi", "Bi", "Au"], "frac_coords": [[0.884, 0.706, 0.092], [0.250, 0.500, 0.500], [0.116, 0.294, 0.908], [0.750, 0.500, 0.500], [0.683, 0.294, 0.908], [0.977, 0.908, 0.706], [0.591, 0.092, 0.294], [0.317, 0.706, 0.092], [0.023, 0.092, 0.294], [0.409, 0.908, 0.706], [0.213, 0.374, 0.199], [0.587, 0.199, 0.626], [0.787, 0.626, 0.801], [0.413, 0.801, 0.374], [0.000, 0.000, 0.000]], "final_energy_ev_per_cell": -55.217}

{"formula": "Sc6Ge2SeS3", "functional": "PBE", "state": "optimized geometry", "lattice_angstrom": [[3.785, 0.000, 0.000], [0.000, 7.631, 0.275], [-1.893, -2.200, 7.979]], "species": ["Sc", "Sc", "Sc", "Sc", "Sc", "Sc", "Se", "Ge", "Ge", "S", "S", "S"], "frac_coords": [[0.335, 0.414, 0.669], [0.003, 0.265, 0.005], [0.665, 0.586, 0.331], [0.330, 0.911, 0.660], [0.997, 0.735, 0.995], [0.670, 0.089, 0.340], [0.500, 0.000, 0.000], [0.833, 0.665, 0.665], [0.167, 0.335, 0.335], [0.500, 0.500, 0.000], [0.836, 0.164, 0.671], [0.164, 0.836, 0.329]], "e_form_raw_ev_per_atom": -1.4968}

{"formula": "BIrN2F", "functional": "PBE", "state": "optimized geometry", "lattice_angstrom": [[3.761, 0.000, 0.000], [0.000, 3.761, 0.000], [0.000, 0.000, 4.729]], "species": ["B", "N", "N", "Ir", "F"], "frac_coords": [[0.500, 0.500, 0.500], [0.500, 0.000, 0.000], [0.000, 0.500, 0.000], [0.000, 0.000, 0.000], [0.000, 0.000, 0.500]], "e_form_raw_ev_per_atom": 1.3335, "polymorph_energy_mev_per_atom": 371}

{"formula": "SrHg2SeBr", "functional": "PBE", "state": "optimized geometry", "lattice_angstrom": [[5.702, 0.000, 0.000], [0.000, 5.912, 0.000], [0.000, 0.000, 5.702]], "species": ["Se", "Hg", "Hg", "Br", "Sr"], "frac_coords": [[0.000, 0.000, 0.000], [0.000, 0.000, 0.500], [0.500, 0.000, 0.000], [0.500, 0.500, 0.500], [0.000, 0.500, 0.000]], "e_form_raw_ev_per_atom": -0.6338}

{"formula": "LiTlMo2", "functional": "PBE", "state": "optimized geometry", "lattice_angstrom": [[-1.721, -8.566, -4.718], [0.165, -7.407, -6.610], [1.143, -8.879, -4.295]], "species": ["Tl", "Li", "Mo", "Mo"], "frac_coords": [[0.250, 0.250, 0.250], [0.750, 0.750, 0.750], [0.499, 0.499, 0.499], [0.001, 0.001, 0.001]], "polymorph_energy_mev_per_atom": 551}